[1]
Compound: Be2GaCu6
Source: the Alexandria database
Functional: GGA-PBE
Structure: optimized geometry

Its formation energy is -0.045 eV/atom. As for the density of states at the Fermi level: 0.260 states/eV/atom. The space-group type is Fmmm.

Lattice parameters (Å, degrees): 3.949 4.827 6.215 82.52 71.48 65.86
Atoms (fractional coordinates):
Be 0.335 0.500 0.830
Ga 0.000 0.500 0.500
Cu 0.979 0.193 0.849
Be 0.665 0.500 0.170
Cu 0.021 0.807 0.151
Cu 0.328 0.193 0.152
Cu 0.665 0.171 0.500
Cu 0.672 0.807 0.848
Cu 0.335 0.829 0.500


[2]
Compound: BeGaCu3
Source: the Alexandria database
Functional: GGA-PBE
Structure: optimized geometry

Its formation energy is 0.083 eV/atom. As for the density of states at the Fermi level: 0.281 states/eV/atom. The space-group type is P6_3/mmc.

Lattice parameters (Å, degrees): 4.260 5.839 5.839 120.00 90.00 90.00
Atoms (fractional coordinates):
Cu 0.750 0.620 0.810
Be 0.500 0.000 0.000
Cu 0.250 0.810 0.620
Cu 0.250 0.380 0.190
Ga 0.750 0.666 0.334
Cu 0.250 0.810 0.190
Cu 0.750 0.190 0.810
Cu 0.750 0.190 0.380
Ga 0.250 0.334 0.666
Be 0.000 0.000 0.000


[3]
Compound: Be2Ga2Cu
Source: the Alexandria database
Functional: GGA-PBE
Structure: optimized geometry

Its formation energy is 0.197 eV/atom. As for the density of states at the Fermi level: 0.311 states/eV/atom. The space-group type is P4/mbm.

Lattice parameters (Å, degrees): 5.917 5.917 3.633 90.00 90.00 90.00
Atoms (fractional coordinates):
Ga 0.833 0.333 0.500
Cu 0.500 0.500 0.000
Ga 0.167 0.667 0.500
Be 0.367 0.867 0.000
Be 0.133 0.367 0.000
Be 0.633 0.133 0.000
Ga 0.333 0.167 0.500
Be 0.867 0.633 0.000
Ga 0.667 0.833 0.500
Cu 0.000 0.000 0.000


Number 1: electronic total energy -3.94 eV per atom. Number 2: electronic total energy -3.73 eV per atom. Number 3: electronic total energy -3.32 eV per atom.